A plane-wave DFT calculation with PBE was carried out for BaPmGa4 after structural relaxation.

a = 4.4191 Å, b = 4.4191 Å, c = 15.6580 Å
α = 90.00°, β = 90.00°, γ = 90.00°
Space group I-4m2 (No. 119)
Symmetry-distinct sites (fractional):
Ba 0.0000 0.0000 0.0000 [2 per cell]
Pm 0.0000 0.5000 0.7500 [2 per cell]
Ga 0.0000 0.0000 0.4098 [4 per cell]
Ga 0.0000 0.5000 0.1714 [4 per cell]

Properties
D(E_F): 0.9716 states/eV per atom
DFT formation energy: -0.49 eV per atom
relative energy among the computed polymorphs: 0.000 eV/atom



A plane-wave DFT calculation with PBE was carried out for BaPm2Ga after structural relaxation.

a = 4.8414 Å, b = 4.8414 Å, c = 22.3940 Å
α = 90.00°, β = 90.00°, γ = 120.00°
Space group R-3m (No. 166, hexagonal axes)
Symmetry-distinct sites (fractional):
Ba 0.0000 0.0000 0.0000 [3 per cell]
Pm 0.0000 0.0000 0.2166 [6 per cell]
Ga 0.0000 0.0000 0.5000 [3 per cell]

Properties
D(E_F): 1.1881 states/eV per atom
DFT formation energy: -0.05 eV per atom
relative energy among the computed polymorphs: 0.118 eV/atom



A plane-wave DFT calculation with PBE was carried out for BaPm2Ga6 after structural relaxation.

a = 4.5996 Å, b = 7.7786 Å, c = 12.9635 Å
α = 90.00°, β = 90.00°, γ = 90.00°
Space group Immm (No. 71)
Symmetry-distinct sites (fractional):
Ba 0.0000 0.0000 0.0000 [2 per cell]
Pm 0.0000 0.5000 0.1288 [4 per cell]
Ga 0.0000 0.1662 0.5000 [4 per cell]
Ga 0.0000 0.2923 0.3149 [8 per cell]

Properties
D(E_F): 0.1575 states/eV per atom
DFT formation energy: -0.47 eV per atom
relative energy among the computed polymorphs: 0.084 eV/atom



A plane-wave DFT calculation with PBE was carried out for BaPmGa4 after structural relaxation.

a = 8.1968 Å, b = 8.1968 Å, c = 8.1968 Å
α = 90.00°, β = 90.00°, γ = 90.00°
Space group F-43m (No. 216)
Symmetry-distinct sites (fractional):
Ba 0.0000 0.0000 0.0000 [4 per cell]
Pm 0.2500 0.2500 0.2500 [4 per cell]
Ga 0.1244 0.1244 0.6244 [16 per cell]

Properties
D(E_F): 0.3154 states/eV per atom
DFT formation energy: -0.41 eV per atom
relative energy among the computed polymorphs: 0.075 eV/atom



A plane-wave DFT calculation with PBE was carried out for BaPmGa after structural relaxation.

a = 5.1782 Å, b = 5.1782 Å, c = 7.9696 Å
α = 90.00°, β = 90.00°, γ = 90.00°
Space group P4/nmm (No. 129, origin choice 2)
Symmetry-distinct sites (fractional):
Ba 0.2500 0.2500 0.1298 [2 per cell]
Pm 0.2500 0.7500 0.5000 [2 per cell]
Ga 0.2500 0.2500 0.7111 [2 per cell]

Properties
D(E_F): 0.5728 states/eV per atom
DFT formation energy: -0.34 eV per atom
relative energy among the computed polymorphs: 0.000 eV/atom



A plane-wave DFT calculation with PBE was carried out for BaPm4Ga4 after structural relaxation.

a = 9.6415 Å, b = 9.6415 Å, c = 5.9685 Å
α = 90.00°, β = 90.00°, γ = 90.00°
Space group P4_2/n (No. 86, origin choice 2)
Symmetry-distinct sites (fractional):
Ba 0.2500 0.2500 0.2500 [2 per cell]
Pm 0.1069 0.8525 0.6240 [8 per cell]
Ga 0.0214 0.8985 0.1314 [8 per cell]

Properties
D(E_F): 1.0972 states/eV per atom
DFT formation energy: -0.30 eV per atom



A plane-wave DFT calculation with PBE was carried out for Ba2PmGa2S6 after structural relaxation.

a = 11.6109 Å, b = 7.3072 Å, c = 8.0199 Å
α = 90.00°, β = 113.33°, γ = 90.00°
Space group C2/m (No. 12)
Symmetry-distinct sites (fractional):
Ba 0.1999 0.0000 0.1678 [4 per cell]
Pm 0.0000 0.0000 0.5000 [2 per cell]
Ga 0.0409 0.5000 0.3429 [4 per cell]
S 0.0567 0.2413 0.8001 [8 per cell]
S 0.2478 0.5000 0.4207 [4 per cell]

Properties
D(E_F): 0.2767 states/eV per atom
formation energy without anion corrections: -1375 meV per atom



A plane-wave DFT calculation with PBE was carried out for BaPmGaSe4 after structural relaxation.

a = 6.9108 Å, b = 7.0565 Å, c = 8.8315 Å
α = 90.00°, β = 107.56°, γ = 90.00°
Space group P2_1/m (No. 11)
Symmetry-distinct sites (fractional):
Ba 0.2492 0.2500 0.0611 [2 per cell]
Pm 0.2296 0.2500 0.5562 [2 per cell]
Ga 0.2273 0.7500 0.3208 [2 per cell]
Se 0.0115 0.5109 0.7254 [4 per cell]
Se 0.4235 0.7500 0.1375 [2 per cell]
Se 0.4399 0.7500 0.5904 [2 per cell]

Properties
formation energy without anion corrections: -1484 meV per atom



A plane-wave DFT calculation with PBE was carried out for Ba2PmGaSe5 after structural relaxation.

a = 4.2735 Å, b = 19.2884 Å, c = 13.5346 Å
α = 90.00°, β = 90.00°, γ = 90.00°
Space group Cmc2_1 (No. 36)
Symmetry-distinct sites (fractional):
Ba 0.0000 0.1206 0.0000 [4 per cell]
Ba 0.0000 0.1248 0.6433 [4 per cell]
Pm 0.0000 0.2035 0.3418 [4 per cell]
Ga 0.0000 0.4417 0.7388 [4 per cell]
Se 0.0000 0.0417 0.3405 [4 per cell]
Se 0.0000 0.2977 0.9865 [4 per cell]
Se 0.0000 0.3173 0.6870 [4 per cell]
Se 0.0000 0.3501 0.3230 [4 per cell]
Se 0.0000 0.4991 0.0842 [4 per cell]

Properties
formation energy without anion corrections: -1641 meV per atom



A plane-wave DFT calculation with PBE was carried out for BaPmGaSn after structural relaxation.

a = 7.9324 Å, b = 7.9324 Å, c = 7.9324 Å
α = 90.00°, β = 90.00°, γ = 90.00°
Space group F-43m (No. 216)
Symmetry-distinct sites (fractional):
Ba 0.0000 0.0000 0.0000 [4 per cell]
Pm 0.0000 0.0000 0.5000 [4 per cell]
Ga 0.2500 0.2500 0.2500 [4 per cell]
Sn 0.2500 0.2500 0.7500 [4 per cell]

Properties
D(E_F): 0.8605 states/eV per atom
DFT formation energy: -0.40 eV per atom



A plane-wave DFT calculation with PBE was carried out for BaPmZnGa after structural relaxation.

a = 7.7448 Å, b = 7.7448 Å, c = 7.7448 Å
α = 90.00°, β = 90.00°, γ = 90.00°
Space group F-43m (No. 216)
Symmetry-distinct sites (fractional):
Ba 0.0000 0.0000 0.0000 [4 per cell]
Pm 0.0000 0.0000 0.5000 [4 per cell]
Zn 0.2500 0.2500 0.2500 [4 per cell]
Ga 0.2500 0.2500 0.7500 [4 per cell]

Properties
D(E_F): 0.9421 states/eV per atom
DFT formation energy: -0.22 eV per atom



A plane-wave DFT calculation with PBE was carried out for BaPrGa after structural relaxation.

a = 3.9614 Å, b = 3.9614 Å, c = 13.9203 Å
α = 90.00°, β = 90.00°, γ = 90.00°
Space group I4mm (No. 107)
Symmetry-distinct sites (fractional):
Ba 0.0000 0.0000 0.0000 [2 per cell]
Pr 0.0000 0.0000 0.2615 [2 per cell]
Ga 0.0000 0.0000 0.6624 [2 per cell]

Properties
D(E_F): 0.8879 states/eV per atom
DFT formation energy: -0.24 eV per atom
relative energy among the computed polymorphs: 0.086 eV/atom